[1]
Computed, not measured: an optimized crystal structure of MnHS2Cl at the PBE level of DFT.

Output
Total magnetization (μB/atom): 0.9825
Offset from the most stable computed form (eV per formula unit): 0.00

Cell: 3.703 3.703 5.731 Å, 90.00 90.00 90.00°
Atoms (fractional coordinates):
1 Mn 0.000 0.000 0.000
2 H 0.500 0.500 0.500
3 S 0.000 0.500 0.500
4 S 0.500 0.000 0.500
5 Cl 0.500 0.500 0.000

---

[2]
Computed, not measured: an optimized crystal structure of CeY2PuN4 at the PBE level of DFT.

Output
E_form (uncorrected) (eV/atom): -1.5220
Total magnetization (μB/atom): 0.6555

Cell: 6.063 3.506 6.075 Å, 90.00 109.66 90.00°
Atoms (fractional coordinates):
1 Ce 0.000 0.000 0.000
2 Y 0.000 0.500 0.500
3 Y 0.500 0.000 0.500
4 Pu 0.500 0.500 0.000
5 N 0.251 0.500 0.249
6 N 0.257 0.000 0.755
7 N 0.743 0.000 0.245
8 N 0.749 0.500 0.751

---

[3]
Computed, not measured: an optimized crystal structure of Cs3Hg4As2 at the PBE level of DFT.

Output
Total magnetization (μB/atom): 0.0000
Energy of formation from the pure elements (eV/atom): -0.33

Cell: 7.398 7.398 10.309 Å, 95.02 95.02 38.24°
Atoms (fractional coordinates):
1 Cs 0.000 0.000 0.000
2 Cs 0.333 0.333 0.343
3 Cs 0.667 0.667 0.657
4 Hg 0.057 0.057 0.382
5 Hg 0.284 0.284 0.930
6 Hg 0.716 0.716 0.070
7 Hg 0.943 0.943 0.618
8 As 0.392 0.392 0.721
9 As 0.608 0.608 0.279